No. 1
# POsN, optimized geometry, DFT PBE
data_POsN
_cell_length_a 6.680
_cell_length_b 2.844
_cell_length_c 4.510
_cell_angle_alpha 90.00
_cell_angle_beta 107.86
_cell_angle_gamma 90.00
_space_group_name_H-M_alt 'C 1 m 1'
_space_group_IT_number 8
_space_group_name_Hall 'C -2y'
loop_
_atom_site_label
_atom_site_type_symbol
_atom_site_fract_x
_atom_site_fract_y
_atom_site_fract_z
P1 P 0.000 0.000 0.000
Os1 Os 0.155 0.500 0.714
N1 N 0.088 0.000 0.383
# Raw formation energy ... 0.119 eV per atom
# N(E_F) ... 0.69 states/eV per cell
# E_tot ... -49.2 eV/cell


No. 2
# SmZn12Pt4, optimized geometry, DFT PBE
data_SmZn12Pt4
_cell_length_a 8.722
_cell_length_b 8.722
_cell_length_c 8.722
_cell_angle_alpha 90.00
_cell_angle_beta 90.00
_cell_angle_gamma 90.00
_space_group_name_H-M_alt 'I m -3'
_space_group_IT_number 204
_space_group_name_Hall '-I 2 2 3'
loop_
_atom_site_label
_atom_site_type_symbol
_atom_site_fract_x
_atom_site_fract_y
_atom_site_fract_z
Sm1 Sm 0.000 0.000 0.000
Zn1 Zn 0.000 0.152 0.352
Pt1 Pt 0.250 0.250 0.250
# N(E_F) ... 16.59 states/eV per cell
# Formation energy ... -2.00 eV per formula unit
# E_tot ... -92.3 eV/cell


No. 3
# La2SI2N, optimized geometry, DFT PBE
data_La2SI2N
_cell_length_a 4.271
_cell_length_b 12.461
_cell_length_c 7.449
_cell_angle_alpha 90.00
_cell_angle_beta 90.00
_cell_angle_gamma 90.00
_space_group_name_H-M_alt 'P m c 21'
_space_group_IT_number 26
_space_group_name_Hall 'P 2c -2'
loop_
_atom_site_label
_atom_site_type_symbol
_atom_site_fract_x
_atom_site_fract_y
_atom_site_fract_z
La1 La 0.000 0.068 0.000
La2 La 0.500 0.191 0.408
S1 S 0.500 0.037 0.707
I1 I 0.000 0.379 0.531
I2 I 0.500 0.276 0.000
N1 N 0.000 0.112 0.349
# Raw formation energy ... -1.452 eV per atom
# N(E_F) ... 5.23 states/eV per cell
# E_tot ... -68.2 eV/cell